First-principles (PBE) data for a geometry-optimized MgZnTe2 structure, as listed in Alexandria via LeMat-Bulk.

Calculated values
- ρ (Mg/m³) = 4.5
- total magnetic moment (μB per atom) = 0.000
- space-group type = Cm
- formation energy (no corrections) (eV/atom) = -0.655

a b c (Å): 8.586 8.586 7.793
angles (deg): 116.57 116.57 30.17
Fractional coordinates of all 8 atoms:
Mg1 0.000 0.000 0.000
Mg2 0.244 0.244 0.910
Zn1 0.495 0.495 0.492
Zn2 0.751 0.751 0.419
Te1 0.191 0.191 0.202
Te2 0.435 0.435 0.109
Te3 0.679 0.679 0.668
Te4 0.935 0.935 0.594

First-principles (PBE) data for a geometry-optimized Pm5Hg2Rh2Au structure, as listed in Alexandria via LeMat-Bulk.

Calculated values
- ρ (Mg/m³) = 9.6
- total magnetic moment (μB per atom) = 0.000
- DFT formation energy (eV/atom) = -0.578
- space-group type = P4/mbm

a b c (Å): 11.835 11.835 3.757
angles (deg): 90.00 90.00 90.00
Fractional coordinates of all 20 atoms:
Pm1 0.000 0.500 0.000
Pm2 0.086 0.197 0.000
Pm3 0.197 0.914 0.000
Pm4 0.303 0.414 0.000
Pm5 0.414 0.697 0.000
Pm6 0.500 0.000 0.000
Pm7 0.586 0.303 0.000
Pm8 0.697 0.586 0.000
Pm9 0.803 0.086 0.000
Pm10 0.914 0.803 0.000
Hg1 0.171 0.671 0.500
Hg2 0.329 0.171 0.500
Hg3 0.671 0.829 0.500
Hg4 0.829 0.329 0.500
Rh1 0.132 0.368 0.500
Rh2 0.368 0.868 0.500
Rh3 0.632 0.132 0.500
Rh4 0.868 0.632 0.500
Au1 0.000 0.000 0.500
Au2 0.500 0.500 0.500

First-principles (PBE) data for a geometry-optimized Na2Zn4CdGe3 structure, as listed in Alexandria via LeMat-Bulk.

Calculated values
- ρ (Mg/m³) = 5.2
- total magnetic moment (μB per atom) = 0.000
- DFT formation energy (eV/atom) = -0.048
- space-group type = P-4m2

a b c (Å): 4.206 4.206 11.443
angles (deg): 90.00 90.00 90.00
Fractional coordinates of all 10 atoms:
Na1 0.000 0.500 0.237
Na2 0.500 0.000 0.763
Zn1 0.000 0.000 0.000
Zn2 0.000 0.500 0.652
Zn3 0.500 0.000 0.348
Zn4 0.500 0.500 0.000
Cd1 0.000 0.000 0.500
Ge1 0.000 0.500 0.867
Ge2 0.500 0.000 0.133
Ge3 0.500 0.500 0.500

First-principles (PBE) data for a geometry-optimized Cs4K2As structure, as listed in Alexandria via LeMat-Bulk.

Calculated values
- ρ (Mg/m³) = 1.7
- total magnetic moment (μB per atom) = 0.044
- DFT formation energy (eV/atom) = -0.060
- space-group type = I4/mmm

a b c (Å): 14.217 14.217 14.217
angles (deg): 151.27 151.27 41.07
Fractional coordinates of all 7 atoms:
Cs1 0.000 0.500 0.500
Cs2 0.130 0.130 0.000
Cs3 0.500 0.000 0.500
Cs4 0.870 0.870 0.000
K1 0.302 0.302 0.000
K2 0.698 0.698 0.000
As1 0.000 0.000 0.000

no.,density of states at the Fermi level (states/eV per atom)
1,0.000
2,0.732
3,0.339
4,1.271